# 1
## LiPuHg2 (PBE)

Data for crystalline LiPuHg2 at its relaxed geometry.

Cell: 3.3848 3.3848 9.7180 Å, 79.97 79.97 60.00°
Closest atoms and distances in Å follow each position.
Fractional positions:
1 Li 0.0000 0.0000 0.0000  6 Hg 2.87
2 Hg 0.2599 0.2599 0.2202  3 Li 2.87
3 Hg 0.7401 0.7401 0.7798  3 Li 2.87
4 Pu 0.5000 0.5000 0.5000  6 Hg 3.30, 6 Pu 3.38

The value obtained for the electronic total energy is -17.26 eV/cell. The volume comes out at 23.61 Å³/atom. The calculation puts the formation energy at -0.10 eV/atom.


# 2
## La2NiRu2 (PBE)

Data for crystalline La2NiRu2 at its relaxed geometry.

Cell: 6.8472 6.8472 4.4238 Å, 90.00 90.00 90.00°
Closest atoms and distances in Å follow each position.
Fractional positions:
1 Ru 0.3648 0.8648 0.0000  1 Ru 2.62, 2 Ni 2.66, 2 La 2.80
2 Ru 0.8648 0.6352 0.0000  1 Ru 2.62, 2 Ni 2.66, 2 La 2.80
3 Ru 0.6352 0.1352 0.0000  1 Ru 2.62, 2 Ni 2.66, 2 La 2.80
4 Ru 0.1352 0.3648 0.0000  1 Ru 2.62, 2 Ni 2.66, 2 La 2.80
5 Ni 0.0000 0.0000 0.0000  4 Ru 2.66
6 Ni 0.5000 0.5000 0.0000  4 Ru 2.66
7 La 0.1883 0.6883 0.5000  2 Ru 2.80
8 La 0.6883 0.8117 0.5000  2 Ru 2.80
9 La 0.8117 0.3117 0.5000  2 Ru 2.80
10 La 0.3117 0.1883 0.5000  2 Ru 2.80

The value obtained for the electronic total energy is -69.03 eV/cell. The volume comes out at 20.74 Å³/atom. The calculation puts the formation energy at -0.07 eV/atom.


# 3
## Zn2InMo (PBE)

Data for crystalline Zn2InMo at its relaxed geometry.

Cell: 2.8211 2.8211 8.7237 Å, 90.00 90.00 91.79°
Closest atoms and distances in Å follow each position.
Fractional positions:
1 In 0.0000 0.0000 0.5086  4 In 2.82, 4 Mo 3.02-3.06
2 Mo 0.5000 0.5000 0.7720  4 Zn 2.78-2.83, 4 Mo 2.82, 4 In 3.02-3.06
3 Zn 0.0000 0.0000 0.9983  8 Zn 2.76-2.82, 4 Mo 2.78-2.83
4 Zn 0.5000 0.5000 0.2211  8 Zn 2.76-2.82

The value obtained for the electronic total energy is -14.99 eV/cell. The volume comes out at 17.35 Å³/atom. The calculation puts the formation energy at 0.28 eV/atom.


# 4
## SmDy3Tc (PBE)

Data for crystalline SmDy3Tc at its relaxed geometry.

Cell: 5.0502 8.1905 6.7921 Å, 90.00 90.00 90.00°
Closest atoms and distances in Å follow each position.
Fractional positions:
1 Sm 0.7500 0.2500 0.4162  1 Tc 2.76
2 Sm 0.2500 0.7500 0.5838  1 Tc 2.76
3 Dy 0.2500 0.4529 0.1790  1 Tc 2.75
4 Dy 0.7500 0.5471 0.8210  1 Tc 2.75
5 Dy 0.2500 0.0471 0.1790  1 Tc 2.75
6 Dy 0.7500 0.9529 0.8210  1 Tc 2.75
7 Dy 0.2500 0.2500 0.7443  2 Tc 3.10, 2 Sm 3.37, 2 Dy 3.39
8 Dy 0.7500 0.7500 0.2557  2 Tc 3.10, 2 Sm 3.37, 2 Dy 3.39
9 Tc 0.7500 0.2500 0.0102  2 Dy 2.75, 1 Sm 2.76
10 Tc 0.2500 0.7500 0.9898  2 Dy 2.75, 1 Sm 2.76

The value obtained for the electronic total energy is -57.72 eV/cell. The calculation puts the energy relative to the lowest polymorph listed for this composition at 0 meV/atom. The volume comes out at 28.09 Å³/atom. The calculation puts the formation energy at 0.01 eV/atom.


# 5
## Ce2Ga12Pd (PBE)

Data for crystalline Ce2Ga12Pd at its relaxed geometry.

Cell: 6.1328 6.1328 15.4660 Å, 90.00 90.00 90.00°
Closest atoms and distances in Å follow each position.
Fractional positions:
1 Ce 0.0000 0.5000 0.2437  14 Ga 3.19-3.44
2 Ce 0.5000 0.0000 0.2437  14 Ga 3.19-3.44
3 Ce 0.0000 0.5000 0.7563  14 Ga 3.19-3.44
4 Ce 0.5000 0.0000 0.7563  14 Ga 3.19-3.44
5 Ga 0.0000 0.0000 0.3439  5 Ga 2.43-2.63
6 Ga 0.2498 0.2502 0.9100  2 Pd 2.58, 3 Ga 2.63-2.78
7 Ga 0.3304 0.1696 0.5704  3 Ga 2.59-2.63
8 Ga 0.2498 0.7498 0.0900  2 Pd 2.58, 3 Ga 2.63-2.78
9 Ga 0.6696 0.8304 0.5704  3 Ga 2.59-2.63
10 Ga 0.0000 0.0000 0.8134  5 Ga 2.43-2.63
11 Ga 0.3304 0.8304 0.4296  3 Ga 2.59-2.63
12 Ga 0.0000 0.0000 0.1866  5 Ga 2.43-2.63
13 Ga 0.5000 0.5000 0.3439  5 Ga 2.43-2.63
14 Ga 0.2502 0.2498 0.0900  2 Pd 2.58, 3 Ga 2.63-2.78
15 Ga 0.7498 0.7502 0.0900  2 Pd 2.58, 3 Ga 2.63-2.78
16 Ga 0.0000 0.0000 0.6561  5 Ga 2.43-2.63
17 Ga 0.8304 0.6696 0.4296  3 Ga 2.59-2.63
18 Ga 0.8304 0.3304 0.5704  3 Ga 2.59-2.63
19 Ga 0.5000 0.5000 0.1866  5 Ga 2.43-2.63
20 Ga 0.2502 0.7502 0.9100  2 Pd 2.58, 3 Ga 2.63-2.78
21 Ga 0.5000 0.5000 0.6561  5 Ga 2.43-2.63
22 Ga 0.7502 0.7498 0.9100  2 Pd 2.58, 3 Ga 2.63-2.78
23 Ga 0.6696 0.1696 0.4296  3 Ga 2.59-2.63
24 Ga 0.1696 0.3304 0.4296  3 Ga 2.59-2.63
25 Ga 0.5000 0.5000 0.8134  5 Ga 2.43-2.63
26 Ga 0.7498 0.2498 0.9100  2 Pd 2.58, 3 Ga 2.63-2.78
27 Ga 0.7502 0.2502 0.0900  2 Pd 2.58, 3 Ga 2.63-2.78
28 Ga 0.1696 0.6696 0.5704  3 Ga 2.59-2.63
29 Pd 0.0000 0.5000 0.0000  8 Ga 2.58
30 Pd 0.5000 0.0000 0.0000  8 Ga 2.58

The value obtained for the electronic total energy is -119.35 eV/cell. The volume comes out at 19.39 Å³/atom. The calculation puts the formation energy at -0.42 eV/atom.


# 6
## Pm2CoNi3 (PBE)

Data for crystalline Pm2CoNi3 at its relaxed geometry.

Cell: 4.1803 5.1581 6.1088 Å, 114.97 110.01 90.00°
Closest atoms and distances in Å follow each position.
Fractional positions:
1 Pm 0.6850 0.1850 0.3699  6 Ni 2.68-2.95
2 Pm 0.3150 0.8150 0.6301  6 Ni 2.68-2.95
3 Co 0.0000 0.5000 0.0000  6 Ni 2.39-2.58
4 Ni 0.3873 0.3873 0.7747  1 Ni 2.31, 2 Co 2.39
5 Ni 0.0000 0.0000 0.0000  2 Co 2.58, 4 Pm 2.82
6 Ni 0.6127 0.6127 0.2253  1 Ni 2.31, 2 Co 2.39

The value obtained for the electronic total energy is -33.66 eV/cell. The volume comes out at 18.43 Å³/atom. The calculation puts the formation energy at 0.05 eV/atom.


# 7
## LaAlRe2 (PBE)

Data for crystalline LaAlRe2 at its relaxed geometry.

Cell: 3.2524 5.0573 4.5196 Å, 90.00 90.00 90.00°
Closest atoms and distances in Å follow each position.
Fractional positions:
1 Re 0.0000 0.0000 0.0000  4 Al 2.78, 4 Re 3.01
2 Re 0.5000 0.5000 0.0000  4 La 2.78, 4 Re 3.01
3 Al 0.5000 0.0000 0.5000  4 Re 2.78, 4 La 3.01
4 La 0.0000 0.5000 0.5000  4 Re 2.78, 4 Al 3.01

The value obtained for the electronic total energy is -30.97 eV/cell. The volume comes out at 18.58 Å³/atom. The calculation puts the formation energy at 0.65 eV/atom.


# 8
## TbSc2Ir (PBE)

Data for crystalline TbSc2Ir at its relaxed geometry.

Cell: 6.0553 7.0853 8.6918 Å, 90.00 90.00 90.00°
Closest atoms and distances in Å follow each position.
Fractional positions:
1 Tb 0.6227 0.5302 0.2500  2 Ir 2.76-2.91
2 Tb 0.8773 0.0302 0.2500  2 Ir 2.76-2.91
3 Tb 0.3773 0.4698 0.7500  2 Ir 2.76-2.91
4 Tb 0.1227 0.9698 0.7500  2 Ir 2.76-2.91
5 Sc 0.1613 0.6740 0.0615  2 Ir 2.69-2.74
6 Sc 0.3387 0.1740 0.4385  2 Ir 2.69-2.74
7 Sc 0.8387 0.3260 0.5615  2 Ir 2.69-2.74
8 Sc 0.6613 0.8260 0.9385  2 Ir 2.69-2.74
9 Sc 0.8387 0.3260 0.9385  2 Ir 2.69-2.74
10 Sc 0.6613 0.8260 0.5615  2 Ir 2.69-2.74
11 Sc 0.1613 0.6740 0.4385  2 Ir 2.69-2.74
12 Sc 0.3387 0.1740 0.0615  2 Ir 2.69-2.74
13 Ir 0.0713 0.3826 0.2500  4 Sc 2.69-2.74, 2 Tb 2.76-2.91
14 Ir 0.4287 0.8826 0.2500  4 Sc 2.69-2.74, 2 Tb 2.76-2.91
15 Ir 0.9287 0.6174 0.7500  4 Sc 2.69-2.74, 2 Tb 2.76-2.91
16 Ir 0.5713 0.1174 0.7500  4 Sc 2.69-2.74, 2 Tb 2.76-2.91

The value obtained for the electronic total energy is -114.00 eV/cell. The calculation puts the energy relative to the lowest polymorph listed for this composition at 0 meV/atom. The volume comes out at 23.31 Å³/atom. The calculation puts the formation energy at -0.59 eV/atom.